Entry 1:
Entry from Alexandria via LeMat-Bulk: an optimized crystal structure of ThSbRh (PBE-GGA).

```
ThSbRh
1.0
-3.3726 2.3460 -2.3937
-3.7940 1.7103 2.2995
-0.5074 4.6907 0.5898
Sb Th Rh
1 1 1
Direct
0.5000 0.5000 0.5000
0.0000 0.0000 0.0000
0.7500 0.7500 0.7500
```

**Magnetization**: 0.00 μB/f.u.
**Volume**: 76.01 Å³/cell
**Energy**: -7.356 eV/atom

Entry 2:
Entry from Alexandria via LeMat-Bulk: an optimized crystal structure of KInBrCl (PBE-GGA).

```
KInBrCl
1.0
5.5754 0.0000 0.0000
2.7877 4.8284 0.0000
2.7877 1.6095 4.5523
Cl In Br K
1 1 1 1
Direct
0.5000 0.5000 0.5000
0.7500 0.7500 0.7500
0.0000 0.0000 0.0000
0.2500 0.2500 0.2500
```

**Magnetization**: 0.00 μB/f.u.
**DOS(E_F)**: 0.00 states/eV per atom
**Volume**: 122.55 Å³/cell
**E above lowest polymorph**: 0.073 eV per atom